Below is crystalline Zr2AlNi6 at its relaxed geometry, with properties calculated at the PBE-GGA level.

Unit cell a=7.115 b=7.115 c=2.832 alpha=90.00 beta=90.00 gamma=120.00
Element x y z (fractional)
Ni 0.720 0.720 0.000
Ni 0.280 0.000 0.000
Ni 0.349 0.349 0.500
Ni 0.651 0.000 0.500
Ni 0.000 0.651 0.500
Ni 0.000 0.280 0.000
Zr 0.667 0.333 0.000
Zr 0.333 0.667 0.000
Al 0.000 0.000 0.500

Summary:
Formation energy from the elements: -20.9 kJ per mole of atoms
Space-group type: P-62m (189)
Energy relative to the lowest polymorph listed for this composition: 238 meV per atom

Below is crystalline LiLuScRe at its relaxed geometry, with properties calculated at the PBE-GGA level.

Unit cell a=4.747 b=4.747 c=4.747 alpha=60.00 beta=60.00 gamma=60.00
Element x y z (fractional)
Li 0.250 0.250 0.250
Lu 0.500 0.500 0.500
Sc 0.000 0.000 0.000
Re 0.750 0.750 0.750

Summary:
Formation energy from the elements: -0.3 kJ per mole of atoms
Space-group type: F-43m (216)

Below is crystalline Na5HgO at its relaxed geometry, with properties calculated at the PBE-GGA level.

Unit cell a=7.140 b=7.140 c=9.428 alpha=70.82 beta=70.82 gamma=57.83
Element x y z (fractional)
Na 0.105 0.625 0.566
Na 0.900 0.374 0.931
Na 0.374 0.900 0.431
Na 0.100 0.626 0.069
Na 0.626 0.100 0.569
Na 0.375 0.895 0.934
Na 0.625 0.105 0.066
Na 0.895 0.375 0.434
Na 0.002 0.998 0.750
Na 0.998 0.002 0.250
O 0.000 0.000 0.000
O 0.000 0.000 0.500
Hg 0.500 0.500 0.750
Hg 0.500 0.500 0.250

Summary:
Space-group type: C2/c (15)
Raw formation energy: -545 meV per atom

Below is crystalline LaIr2Ru at its relaxed geometry, with properties calculated at the PBE-GGA level.

Unit cell a=2.843 b=3.727 c=6.916 alpha=90.00 beta=90.00 gamma=90.00
Element x y z (fractional)
Ir 0.000 0.000 0.942
Ir 0.000 0.000 0.558
Ru 0.500 0.500 0.750
La 0.500 0.500 0.250

Summary:
Formation energy from the elements: 0.8 kJ per mole of atoms
Space-group type: Pmmm (47)
Energy relative to the lowest polymorph listed for this composition: 0 meV per atom

Below is crystalline Ba2Ag2PbS4 at its relaxed geometry, with properties calculated at the PBE-GGA level.

Unit cell a=4.182 b=7.646 c=8.127 alpha=110.29 beta=104.91 gamma=90.00
Element x y z (fractional)
S 0.521 0.736 0.043
S 0.789 0.774 0.577
S 0.211 0.226 0.423
S 0.479 0.264 0.957
Pb 0.000 0.000 0.000
Ba 0.868 0.437 0.736
Ba 0.132 0.563 0.264
Ag 0.678 0.003 0.356
Ag 0.322 0.997 0.644

Summary:
Space-group type: C2/m (12)
Raw formation energy: -1030 meV per atom

Below is crystalline CeScZn2Au4 at its relaxed geometry, with properties calculated at the PBE-GGA level.

Unit cell a=4.644 b=4.644 c=8.849 alpha=74.79 beta=74.79 gamma=60.00
Element x y z (fractional)
Au 0.390 0.390 0.830
Au 0.610 0.610 0.170
Au 0.874 0.874 0.378
Au 0.126 0.126 0.622
Ce 0.000 0.000 0.000
Zn 0.243 0.243 0.270
Zn 0.757 0.757 0.730
Sc 0.500 0.500 0.500

Summary:
Formation energy from the elements: -54.5 kJ per mole of atoms
Space-group type: R-3m (166)

Below is crystalline Sm2Dy2HoSc2 at its relaxed geometry, with properties calculated at the PBE-GGA level.

Unit cell a=3.428 b=5.924 c=11.576 alpha=71.84 beta=90.00 gamma=106.82
Element x y z (fractional)
Dy 0.453 0.906 0.767
Dy 0.547 0.094 0.233
Sm 0.329 0.658 0.089
Sm 0.671 0.342 0.911
Sc 0.228 0.456 0.631
Sc 0.772 0.544 0.369
Ho 0.000 0.000 0.500

Summary:
Formation energy from the elements: 10.5 kJ per mole of atoms
Space-group type: C2/m (12)

Below is crystalline Y2CrBr at its relaxed geometry, with properties calculated at the PBE-GGA level.

Unit cell a=3.481 b=3.596 c=8.504 alpha=90.06 beta=90.00 gamma=90.00
Element x y z (fractional)
Cr 0.500 0.750 0.750
Y 0.000 0.250 0.543
Y 0.000 0.250 0.957
Br 0.500 0.250 0.250

Summary:
Space-group type: P2/m (10)
Energy relative to the lowest polymorph listed for this composition: 0 meV per atom
Raw formation energy: -319 meV per atom